# 1
A plane-wave DFT calculation with PBEsol was carried out for a relaxed structure of TcSb3.

Cell: 3.2704 5.2039 6.1096 Å, 115.21 90.00 90.00°
With the nearest neighbours (Å) after each atom.
Atoms (fractional coordinates):
1 Sb 0.0000 0.3092 0.6184  2 Tc 2.67, 2 Sb 2.91
2 Sb 0.0000 0.6908 0.3816  2 Tc 2.67, 2 Sb 2.91
3 Tc 0.5000 0.5000 0.0000  6 Sb 2.60-2.67
4 Sb 0.5000 0.0000 0.0000  2 Tc 2.60

Values from the calculation:
Energy above the most stable polymorph in this dataset   48 meV/atom
Uncorrected formation energy   0.060 eV/atom
Magnetic moment   0.00 μB/f.u.

---

# 2
A plane-wave DFT calculation with PBEsol was carried out for a relaxed structure of Tc3Sb.

Cell: 2.9446 4.7864 4.7864 Å, 113.50 90.00 90.00°
With the nearest neighbours (Å) after each atom.
Atoms (fractional coordinates):
1 Tc 0.5000 0.5000 0.0000  6 Tc 2.62-2.81, 4 Sb 2.81
2 Tc 0.5000 0.0000 0.5000  6 Tc 2.62-2.81, 4 Sb 2.81
3 Tc 0.0000 0.5000 0.5000  2 Sb 2.62, 8 Tc 2.81
4 Sb 0.0000 0.0000 0.0000  10 Tc 2.62-2.81

Values from the calculation:
Energy above the most stable polymorph in this dataset   126 meV/atom
Uncorrected formation energy   0.350 eV/atom
Magnetic moment   0.00 μB/f.u.

---

# 3
A plane-wave DFT calculation with PBEsol was carried out for a relaxed structure of TcSb2.

Cell: 3.1901 3.1901 6.6606 Å, 103.86 103.86 90.00°
With the nearest neighbours (Å) after each atom.
Atoms (fractional coordinates):
1 Tc 0.0000 0.0000 0.0000  8 Sb 2.79
2 Sb 0.6304 0.6304 0.2607  4 Tc 2.79
3 Sb 0.3696 0.3696 0.7393  4 Tc 2.79

Values from the calculation:
Energy above the most stable polymorph in this dataset   44 meV/atom
Uncorrected formation energy   0.011 eV/atom
Magnetic moment   0.00 μB/f.u.

---

# 4
A plane-wave DFT calculation with PBEsol was carried out for a relaxed structure of TcSbTe2W.

Cell: 5.1887 5.1887 5.2299 Å, 90.00 90.00 90.00°
With the nearest neighbours (Å) after each atom.
Atoms (fractional coordinates):
1 Te 0.0000 0.5000 0.0000  2 W 2.59
2 Sb 0.0000 0.0000 0.5000  2 W 2.61
3 Tc 0.5000 0.5000 0.5000  4 Sb 3.67, 8 Te 3.68
4 W 0.0000 0.0000 0.0000  4 Te 2.59, 2 Sb 2.61
5 Te 0.5000 0.0000 0.0000  2 W 2.59

Values from the calculation:
Uncorrected formation energy   1.526 eV/atom
Magnetic moment   4.09 μB/f.u.

---

Number 1: electronic total energy -6.174 eV/atom, density 8.18 g/cm3, D(E_F) 1.5 states/eV/f.u.. Number 2: electronic total energy -9.239 eV/atom, density 11.16 g/cm3, D(E_F) 4.2 states/eV/f.u.. Number 3: electronic total energy -6.783 eV/atom, density 8.89 g/cm3, D(E_F) 1.8 states/eV/f.u.. Number 4: electronic total energy -5.810 eV/atom, density 7.77 g/cm3, D(E_F) 6.5 states/eV/f.u..